Entry 1:
A plane-wave DFT calculation with PBE was carried out for crystalline ZrCr2Cl at its relaxed geometry.

Structure (POSCAR):
```
ZrCr2Cl
1.0
0.000 3.276 3.276
3.276 0.000 3.276
3.276 3.276 0.000
Zr Cr Cl
1 2 1
Direct
0.000 0.000 0.000
0.250 0.250 0.250
0.750 0.750 0.750
0.500 0.500 0.500
```

E above lowest polymorph in eV per atom: 0.989
Calculated volume in Å³/cell: 70
SG: Fm-3m
Uncorrected energy in eV/atom: -6.54
E_form (uncorrected) in meV/atom: 875



Entry 2:
A plane-wave DFT calculation with PBE was carried out for crystalline AlZn2Cd at its relaxed geometry.

Structure (POSCAR):
```
AlZn2Cd
1.0
4.591 0.000 0.000
0.000 4.591 0.000
0.000 0.000 3.421
Al Zn Cd
1 2 1
Direct
0.000 0.000 0.000
0.000 0.500 0.500
0.500 0.000 0.500
0.500 0.500 0.000
```

E above lowest polymorph in eV per atom: 0.092
Calculated volume in Å³/cell: 72
SG: P4/mmm
DFT formation energy in kJ per mole of atoms: 15
Uncorrected energy in eV/atom: -1.65



Entry 3:
A plane-wave DFT calculation with PBE was carried out for crystalline MgAsO3 at its relaxed geometry.

Structure (POSCAR):
```
MgAsO3
1.0
2.619 1.512 5.346
-2.619 1.512 5.346
0.000 -3.024 5.346
Mg As O
2 2 6
Direct
0.161 0.161 0.161
0.839 0.839 0.839
0.429 0.429 0.429
0.571 0.571 0.571
0.082 0.426 0.748
0.252 0.918 0.574
0.426 0.748 0.082
0.574 0.252 0.918
0.748 0.082 0.426
0.918 0.574 0.252
```

Calculated volume in Å³/cell: 127
SG: R-3
Uncorrected energy in eV/atom: -5.76
E_form (uncorrected) in meV/atom: -1533